A plane-wave DFT calculation with meta-GGA SCAN was carried out for a crystal of Ba2CoAs relaxed with PBEsol.

Computed properties:
Its space-group type is No. 38. The calculation puts the formation enthalpy at 0 K at -0.3655 eV/atom. The volume comes out at 115.0 Å³/cell. As for the density of states at the Fermi level: 3.16 states/eV per cell.

Cell lengths 4.3764, 4.8179, 5.9643 Å; angles 113.82, 90.00, 90.00 degrees
Closest atoms and distances in Å follow each position.
Fractional coordinates of all 4 atoms:
As 0.5000 0.4141 0.7032  2 Co 2.32
Co 0.0000 0.3444 0.5637  2 As 2.32
Ba 0.0000 0.0182 0.9115  2 Co 3.07
Ba 0.5000 0.7233 0.3216  3 As 3.18-3.37, 4 Co 3.51

=====

A plane-wave DFT calculation with meta-GGA SCAN was carried out for a crystal of BaCoAs2O7 relaxed with PBEsol.

Computed properties:
The uncorrected formation energy is -1798 meV per atom. Its space-group type is No. 2. The volume comes out at 311.7 Å³/cell. As for the density of states at the Fermi level: 0.00 states/eV per cell.

Cell lengths 5.4832, 7.5007, 7.8241 Å; angles 102.32, 93.50, 95.67 degrees
Closest atoms and distances in Å follow each position.
Fractional coordinates of all 22 atoms:
Ba 0.1816 0.2774 0.9274  6 O 2.65-2.95
Ba 0.8184 0.7226 0.0726  6 O 2.65-2.95
Co 0.1811 0.1128 0.3985  5 O 1.96-2.18
Co 0.8189 0.8872 0.6015  5 O 1.96-2.18
As 0.7021 0.3146 0.6048  4 O 1.66-1.78
As 0.2979 0.6854 0.3952  4 O 1.66-1.78
As 0.6829 0.2277 0.2067  4 O 1.69-1.79
As 0.3171 0.7723 0.7933  4 O 1.69-1.79
O 0.6823 0.3451 0.0456  1 As 1.69
O 0.3177 0.6549 0.9544  1 As 1.69
O 0.9309 0.1047 0.1997  1 As 1.71
O 0.0691 0.8953 0.8003  1 As 1.71
O 0.8989 0.1434 0.5837  1 As 1.75
O 0.1011 0.8566 0.4163  1 As 1.75
O 0.7213 0.3968 0.4085  2 As 1.78-1.79
O 0.2787 0.6032 0.5915  2 As 1.78-1.79
O 0.4033 0.2245 0.6073  1 As 1.71
O 0.5967 0.7755 0.3927  1 As 1.71
O 0.4078 0.0991 0.2026  1 As 1.70
O 0.5921 0.9009 0.7974  1 As 1.70
O 0.8209 0.4893 0.7668  1 As 1.66
O 0.1791 0.5107 0.2332  1 As 1.66

=====

A plane-wave DFT calculation with meta-GGA SCAN was carried out for a crystal of BaCo2As2O8 relaxed with PBEsol.

Computed properties:
The uncorrected formation energy is -1731 meV per atom. Its space-group type is No. 2. The volume comes out at 168.4 Å³/cell.

Cell lengths 4.9338, 4.9713, 8.4941 Å; angles 89.56, 74.52, 58.19 degrees
Closest atoms and distances in Å follow each position.
Fractional coordinates of all 13 atoms:
Ba 0.0000 0.0000 0.0000  10 O 2.85-3.18
Co 0.3210 0.8244 0.4956  6 O 2.04-2.06
Co 0.6790 0.1756 0.5044  6 O 2.04-2.06
As 0.1353 0.4330 0.2806  4 O 1.69-1.74
As 0.8647 0.5670 0.7194  4 O 1.69-1.74
O 0.9126 0.2043 0.6632  1 As 1.74
O 0.5874 0.8648 0.6337  1 As 1.72
O 0.2385 0.5527 0.6613  1 As 1.74
O 0.0874 0.7957 0.3368  1 As 1.74
O 0.4126 0.1352 0.3663  1 As 1.72
O 0.2890 0.3502 0.0717  1 As 1.69
O 0.7110 0.6498 0.9283  1 As 1.69
O 0.7615 0.4473 0.3387  1 As 1.74

=====

A plane-wave DFT calculation with meta-GGA SCAN was carried out for a crystal of BaCoAsSe2 relaxed with PBEsol.

Computed properties:
The uncorrected formation energy is -718 meV per atom. Its space-group type is No. 123. The volume comes out at 112.6 Å³/cell. As for the density of states at the Fermi level: 1.69 states/eV per cell.

Cell lengths 4.3257, 5.1030, 5.1030 Å; angles 90.00, 90.00, 90.00 degrees
Closest atoms and distances in Å follow each position.
Fractional coordinates of all 5 atoms:
As 0.5000 0.0000 0.0000  2 Co 2.16
Co 0.0000 0.0000 0.0000  2 As 2.16
Ba 0.5000 0.5000 0.5000  8 Se 3.34, 4 As 3.61
Se 0.0000 0.0000 0.5000  2 Co 2.55
Se 0.0000 0.5000 0.0000  2 Co 2.55